This record from Alexandria via LeMat-Bulk describes crystalline Cu3Rh at its relaxed geometry. The functional is GGA-PBE.

Crystal system ... orthorhombic
Spin magnetization ... 0.000 μB/f.u.
Density of states at the Fermi level ... 2.3 states/eV/f.u.
Energy of formation from the pure elements ... 6 meV per atom

The structure in POSCAR format:
```
Cu3Rh
1.0
4.5644 0.0000 0.0000
0.0000 8.5501 0.0000
0.0000 0.0000 5.1911
Cu Rh
12 4
direct
0.0791 0.2500 0.1314
0.2490 0.5033 0.8757
0.2490 0.9967 0.8757
0.2510 0.0033 0.3757
0.2510 0.4967 0.3757
0.4209 0.7500 0.6314
0.5791 0.2500 0.3686
0.7490 0.5033 0.6243
0.7490 0.9967 0.6243
0.7510 0.0033 0.1243
0.7510 0.4967 0.1243
0.9209 0.7500 0.8686
0.0752 0.2500 0.6311
0.4248 0.7500 0.1311
0.5752 0.2500 0.8689
0.9248 0.7500 0.3689
```


This record from Alexandria via LeMat-Bulk describes crystalline Cu2Rh at its relaxed geometry. The functional is GGA-PBE.

Crystal system ... orthorhombic
Spin magnetization ... 0.108 μB/f.u.
Density of states at the Fermi level ... 3.7 states/eV/f.u.
Energy of formation from the pure elements ... 81 meV per atom

The structure in POSCAR format:
```
Cu2Rh
1.0
2.6318 0.0000 0.0000
0.0000 3.6917 0.0000
0.0000 0.0000 7.9568
Cu Rh
4 2
direct
0.0000 0.0000 0.1685
0.0000 0.0000 0.8315
0.5000 0.5000 0.3315
0.5000 0.5000 0.6685
0.0000 0.0000 0.5000
0.5000 0.5000 0.0000
```


This record from Alexandria via LeMat-Bulk describes crystalline Cu3Rh at its relaxed geometry. The functional is GGA-PBE.

Crystal system ... trigonal
Spin magnetization ... 0.624 μB/f.u.
Density of states at the Fermi level ... 2.8 states/eV/f.u.
Energy of formation from the pure elements ... 97 meV per atom

The structure in POSCAR format:
```
Cu3Rh
1.0
8.3445 0.0000 0.0000
-4.1722 7.2265 0.0000
0.0000 0.0000 2.5557
Cu Rh
9 3
direct
0.0000 0.5000 0.0000
0.1667 0.3333 0.3333
0.1667 0.8333 0.3333
0.3333 0.1667 0.6667
0.5000 0.0000 0.0000
0.5000 0.5000 0.0000
0.6667 0.8333 0.3333
0.8333 0.1667 0.6667
0.8333 0.6667 0.6667
0.0000 0.0000 0.0000
0.3333 0.6667 0.6667
0.6667 0.3333 0.3333
```


This record from Alexandria via LeMat-Bulk describes crystalline CuRh4 at its relaxed geometry. The functional is GGA-PBE.

Crystal system ... cubic
Spin magnetization ... 3.572 μB/f.u.
Density of states at the Fermi level ... 7.0 states/eV/f.u.
Energy of formation from the pure elements ... 1354 meV per atom

The structure in POSCAR format:
```
CuRh4
1.0
4.4355 0.0000 0.0000
0.0000 4.4355 0.0000
0.0000 0.0000 4.4355
Cu Rh
1 4
direct
0.0000 0.0000 0.0000
0.0000 0.0000 0.5000
0.0000 0.5000 0.0000
0.5000 0.0000 0.0000
0.5000 0.5000 0.5000
```


This record from Alexandria via LeMat-Bulk describes crystalline Cu4Rh at its relaxed geometry. The functional is GGA-PBE.

Crystal system ... tetragonal
Spin magnetization ... 0.002 μB/f.u.
Density of states at the Fermi level ... 4.2 states/eV/f.u.
Energy of formation from the pure elements ... 341 meV per atom

The structure in POSCAR format:
```
Cu4Rh
1.0
3.3889 0.0000 0.0000
0.0000 3.3889 0.0000
0.0000 0.0000 11.6885
Cu Rh
8 2
direct
0.0000 0.0000 0.0994
0.0000 0.0000 0.9006
0.0000 0.5000 0.2500
0.0000 0.5000 0.7500
0.5000 0.0000 0.2500
0.5000 0.0000 0.7500
0.5000 0.5000 0.4006
0.5000 0.5000 0.5994
0.0000 0.0000 0.5000
0.5000 0.5000 0.0000
```


This record from Alexandria via LeMat-Bulk describes crystalline Cu5Rh2 at its relaxed geometry. The functional is GGA-PBE.

Crystal system ... monoclinic
Spin magnetization ... 0.002 μB/f.u.
Density of states at the Fermi level ... 8.8 states/eV/f.u.
Energy of formation from the pure elements ... 58 meV per atom

The structure in POSCAR format:
```
Cu5Rh2
1.0
5.7886 -2.2634 0.0000
5.7886 2.2634 0.0000
-0.3668 0.0000 6.8123
Cu Rh
10 4
direct
0.0174 0.6897 0.0338
0.1169 0.4532 0.6805
0.1642 0.8358 0.7500
0.3103 0.9826 0.4662
0.4532 0.1169 0.1805
0.5468 0.8831 0.8195
0.6897 0.0174 0.5338
0.8358 0.1642 0.2500
0.8831 0.5468 0.3195
0.9826 0.3103 0.9662
0.2588 0.5955 0.3916
0.4045 0.7412 0.1084
0.5955 0.2588 0.8916
0.7412 0.4045 0.6084
```


This record from Alexandria via LeMat-Bulk describes crystalline Cu4Rh at its relaxed geometry. The functional is GGA-PBE.

Crystal system ... cubic
Spin magnetization ... 0.011 μB/f.u.
Density of states at the Fermi level ... 8.1 states/eV/f.u.
Energy of formation from the pure elements ... 729 meV per atom

The structure in POSCAR format:
```
Cu4Rh
1.0
5.5471 0.0000 0.0000
0.0000 5.5471 0.0000
0.0000 0.0000 5.5471
Cu Rh
8 2
direct
0.2500 0.2500 0.2500
0.2500 0.2500 0.7500
0.2500 0.7500 0.2500
0.2500 0.7500 0.7500
0.7500 0.2500 0.2500
0.7500 0.2500 0.7500
0.7500 0.7500 0.2500
0.7500 0.7500 0.7500
0.0000 0.0000 0.0000
0.5000 0.5000 0.5000
```


This record from Alexandria via LeMat-Bulk describes crystalline Cu2Rh at its relaxed geometry. The functional is GGA-PBE.

Crystal system ... tetragonal
Spin magnetization ... 0.005 μB/f.u.
Density of states at the Fermi level ... 3.3 states/eV/f.u.
Energy of formation from the pure elements ... 64 meV per atom

The structure in POSCAR format:
```
Cu2Rh
1.0
2.6716 0.0000 0.0000
0.0000 2.6716 0.0000
0.0000 0.0000 10.7918
Cu Rh
4 2
direct
0.0000 0.0000 0.1713
0.0000 0.0000 0.8287
0.5000 0.5000 0.3287
0.5000 0.5000 0.6713
0.0000 0.0000 0.5000
0.5000 0.5000 0.0000
```